No. 1
{
  "formula": "Sr2Cd4Ag3",
  "functional": "GGA-PBE",
  "state": "optimized geometry",
  "spacegroup": "Fmmm",
  "energy_ev_per_fu": -17.7,
  "formation_energy_ev_per_atom": -0.24,
  "dos_ef_per_ev_cell": 4.5,
  "lattice": [[0.000, 5.084, 7.540], [2.915, 0.000, 7.540], [2.915, 5.084, 0.000]],
  "species": ["Sr", "Sr", "Cd", "Cd", "Cd", "Cd", "Ag", "Ag", "Ag"],
  "fractional_positions": [[0.131, 0.131, 0.869], [0.869, 0.869, 0.131], [0.169, 0.497, 0.503], [0.497, 0.169, 0.831], [0.503, 0.831, 0.169], [0.831, 0.503, 0.497], [0.000, 0.000, 0.500], [0.500, 0.500, 0.000], [0.500, 0.500, 0.500]]
}

No. 2
{
  "formula": "Sr6CdAg3",
  "functional": "GGA-PBE",
  "state": "optimized geometry",
  "spacegroup": "P2_1/m",
  "energy_ev_per_fu": -21.7,
  "formation_energy_ev_per_atom": -0.21,
  "dos_ef_per_ev_cell": 14.7,
  "lattice": [[12.210, 0.000, 0.000], [0.000, 4.605, 0.000], [-5.333, 0.000, 13.667]],
  "species": ["Sr", "Sr", "Sr", "Sr", "Sr", "Sr", "Sr", "Sr", "Sr", "Sr", "Sr", "Sr", "Cd", "Cd", "Ag", "Ag", "Ag", "Ag", "Ag", "Ag"],
  "fractional_positions": [[0.016, 0.250, 0.387], [0.070, 0.250, 0.904], [0.245, 0.750, 0.323], [0.339, 0.750, 0.798], [0.341, 0.750, 0.095], [0.392, 0.250, 0.568], [0.608, 0.750, 0.432], [0.659, 0.250, 0.905], [0.661, 0.250, 0.202], [0.755, 0.250, 0.677], [0.930, 0.750, 0.096], [0.984, 0.750, 0.613], [0.421, 0.250, 0.283], [0.579, 0.750, 0.717], [0.154, 0.250, 0.152], [0.194, 0.750, 0.531], [0.421, 0.250, 0.972], [0.579, 0.750, 0.028], [0.806, 0.250, 0.469], [0.846, 0.750, 0.848]]
}

No. 3
{
  "formula": "SrCdAg3",
  "functional": "GGA-PBE",
  "state": "optimized geometry",
  "spacegroup": "Pm-3m",
  "de_polymorph_ev_per_atom": 1.0251,
  "energy_ev_per_fu": -7.0,
  "formation_energy_ev_per_atom": 0.84,
  "dos_ef_per_ev_cell": 5.0,
  "lattice": [[5.883, 0.000, 0.000], [0.000, 5.883, 0.000], [0.000, 0.000, 5.883]],
  "species": ["Sr", "Cd", "Ag", "Ag", "Ag"],
  "fractional_positions": [[0.000, 0.000, 0.000], [0.500, 0.500, 0.500], [0.000, 0.000, 0.500], [0.000, 0.500, 0.000], [0.500, 0.000, 0.000]]
}

No. 4
{
  "formula": "Sr3Cd7Ag4",
  "functional": "GGA-PBE",
  "state": "optimized geometry",
  "spacegroup": "C2/m",
  "energy_ev_per_fu": -26.6,
  "formation_energy_ev_per_atom": -0.27,
  "dos_ef_per_ev_cell": 6.6,
  "lattice": [[8.660, -2.390, 0.000], [8.660, 2.390, 0.000], [-5.878, 0.000, 8.643]],
  "species": ["Sr", "Sr", "Sr", "Cd", "Cd", "Cd", "Cd", "Cd", "Cd", "Cd", "Ag", "Ag", "Ag", "Ag"],
  "fractional_positions": [[0.000, 0.000, 0.000], [0.304, 0.304, 0.301], [0.696, 0.696, 0.699], [0.000, 0.000, 0.500], [0.147, 0.147, 0.420], [0.326, 0.326, 0.979], [0.497, 0.497, 0.699], [0.503, 0.503, 0.301], [0.674, 0.674, 0.021], [0.853, 0.853, 0.580], [0.122, 0.122, 0.836], [0.338, 0.338, 0.718], [0.662, 0.662, 0.282], [0.878, 0.878, 0.164]]
}